(1)
# Er6TmSe8 (PBE-GGA, optimized geometry)
# VASP energy in eV/atom: -5.7758
data_Er6TmSe8
_chemical_formula_sum 'Er24 Tm4 Se32'
_cell_length_a 11.3476
_cell_length_b 11.3476
_cell_length_c 11.3476
_cell_angle_alpha 90.00
_cell_angle_beta 90.00
_cell_angle_gamma 90.00
_space_group_name_H-M_alt 'F m -3 m'
_space_group_IT_number 225
_space_group_name_Hall '-F 4 2 3'
loop_
_atom_site_label
_atom_site_fract_x
_atom_site_fract_y
_atom_site_fract_z
Er1 0.0000 0.2500 0.2500
Tm1 0.0000 0.0000 0.0000
Se1 0.0000 0.0000 0.2526
Se2 0.2500 0.2500 0.2500

---

(2)
# YEr2Se3 (PBE-GGA, optimized geometry)
# VASP energy in eV/atom: -6.0570
data_YEr2Se3
_chemical_formula_sum 'Y1 Er2 Se3'
_cell_length_a 4.0426
_cell_length_b 4.0426
_cell_length_c 9.9163
_cell_angle_alpha 90.00
_cell_angle_beta 90.00
_cell_angle_gamma 120.00
_space_group_name_H-M_alt 'P -3 m 1'
_space_group_IT_number 164
_space_group_name_Hall '-P 3 2"'
loop_
_atom_site_label
_atom_site_fract_x
_atom_site_fract_y
_atom_site_fract_z
Y1 0.0000 0.0000 0.0000
Er1 0.3333 0.6667 0.6654
Se1 0.0000 0.0000 0.5000
Se2 0.3333 0.6667 0.1710

---

(3)
# Y6Er2Se (PBE-GGA, optimized geometry)
# VASP energy in eV/atom: -6.0802
data_Y6Er2Se
_chemical_formula_sum 'Y6 Er2 Se1'
_cell_length_a 9.0923
_cell_length_b 9.0923
_cell_length_c 3.7704
_cell_angle_alpha 90.00
_cell_angle_beta 90.00
_cell_angle_gamma 120.00
_space_group_name_H-M_alt 'P -6 2 m'
_space_group_IT_number 189
_space_group_name_Hall 'P -6 -2'
loop_
_atom_site_label
_atom_site_fract_x
_atom_site_fract_y
_atom_site_fract_z
Y1 0.0000 0.2563 0.0000
Y2 0.0000 0.6078 0.5000
Er1 0.3333 0.6667 0.0000
Se1 0.0000 0.0000 0.5000

---

(4)
# Er2ZrSe2 (PBE-GGA, optimized geometry)
# VASP energy in eV/atom: -6.0347
data_Er2ZrSe2
_chemical_formula_sum 'Er4 Zr2 Se4'
_cell_length_a 12.6297
_cell_length_b 3.6983
_cell_length_c 5.6249
_cell_angle_alpha 90.00
_cell_angle_beta 112.76
_cell_angle_gamma 90.00
_space_group_name_H-M_alt 'C 1 2/m 1'
_space_group_IT_number 12
_space_group_name_Hall '-C 2y'
loop_
_atom_site_label
_atom_site_fract_x
_atom_site_fract_y
_atom_site_fract_z
Er1 0.1497 0.0000 0.1707
Zr1 0.0000 0.5000 0.5000
Se1 0.1711 0.0000 0.6883

---

(5)
# Er5Si4 (PBE-GGA, optimized geometry)
# VASP energy in eV/atom: -5.6942
data_Er5Si4
_chemical_formula_sum 'Er20 Si16'
_cell_length_a 14.4524
_cell_length_b 7.5974
_cell_length_c 7.4069
_cell_angle_alpha 90.00
_cell_angle_beta 93.29
_cell_angle_gamma 90.00
_space_group_name_H-M_alt 'P 1 21/c 1'
_space_group_IT_number 14
_space_group_name_Hall '-P 2ybc'
loop_
_atom_site_label
_atom_site_fract_x
_atom_site_fract_y
_atom_site_fract_z
Er1 0.0984 0.1808 0.4971
Er2 0.1206 0.6665 0.6465
Er3 0.2462 0.0057 0.8265
Er4 0.3776 0.6783 0.6724
Er5 0.4000 0.1831 0.5217
Si1 0.0415 0.5353 0.2990
Si2 0.2519 0.1302 0.2112
Si3 0.2520 0.6072 0.9550
Si4 0.4589 0.5279 0.3520

---

(6)
# Er3Si5 (PBE-GGA, optimized geometry)
# VASP energy in eV/atom: -5.7610
data_Er3Si5
_chemical_formula_sum 'Er3 Si5'
_cell_length_a 6.5187
_cell_length_b 6.5187
_cell_length_c 4.1449
_cell_angle_alpha 90.00
_cell_angle_beta 90.00
_cell_angle_gamma 120.00
_space_group_name_H-M_alt 'P -6 2 m'
_space_group_IT_number 189
_space_group_name_Hall 'P -6 -2'
loop_
_atom_site_label
_atom_site_fract_x
_atom_site_fract_y
_atom_site_fract_z
Er1 0.0000 0.6443 0.0000
Si1 0.0000 0.2630 0.5000
Si2 0.3333 0.6667 0.5000